Record 1
A relaxed Rb2LiTcRh crystal, computed with PBE.

Lattice parameters (Å, degrees): 5.4092 5.0078 5.4092 90.00 90.00 90.00
With the nearest neighbours (Å) after each atom.
Element x y z (fractional)
Rb: 0.5000 0.0000 0.0000  2 Li 2.70
Rh: 0.5000 0.5000 0.5000  8 Rb 3.69, 4 Tc 3.82
Li: 0.0000 0.0000 0.0000  2 Tc 2.50, 4 Rb 2.70
Tc: 0.0000 0.5000 0.0000  2 Li 2.50
Rb: 0.0000 0.0000 0.5000  2 Li 2.70

Output
Magnetic moment   3.728 μB/cell
SG   P4/mmm, No. 123
Crystal system   tetragonal
Energy of formation from the pure elements   1.65 eV per atom
Fermi-level density of states   6.17 states/eV/cell

Record 2
A relaxed RbLiTi2Rh crystal, computed with PBE.

Lattice parameters (Å, degrees): 4.7728 6.4470 4.7728 90.00 90.00 90.00
With the nearest neighbours (Å) after each atom.
Element x y z (fractional)
Ti: 0.5000 0.0000 0.0000  2 Rh 2.39
Rb: 0.0000 0.5000 0.0000  2 Rh 3.22, 4 Li 3.37
Ti: 0.0000 0.0000 0.5000  2 Rh 2.39
Li: 0.5000 0.5000 0.5000  4 Rb 3.37
Rh: 0.0000 0.0000 0.0000  4 Ti 2.39

Output
Magnetic moment   1.900 μB/cell
SG   P4/mmm, No. 123
Crystal system   tetragonal
Energy of formation from the pure elements   0.67 eV per atom
Fermi-level density of states   6.36 states/eV/cell

Record 3
A relaxed RbLiTl2Rh crystal, computed with PBE.

Lattice parameters (Å, degrees): 5.3259 5.3259 5.1839 90.00 90.00 90.00
With the nearest neighbours (Å) after each atom.
Element x y z (fractional)
Li: 0.0000 0.0000 0.5000  2 Rh 2.59
Rb: 0.5000 0.5000 0.5000  8 Tl 3.72, 4 Li 3.77
Rh: 0.0000 0.0000 0.0000  2 Li 2.59, 4 Tl 2.66
Tl: 0.0000 0.5000 0.0000  2 Rh 2.66
Tl: 0.5000 0.0000 0.0000  2 Rh 2.66

Output
Magnetic moment   0.000 μB/cell
SG   P4/mmm, No. 123
Crystal system   tetragonal
Energy of formation from the pure elements   -0.09 eV per atom
Fermi-level density of states   1.88 states/eV/cell

Record 4
A relaxed RbLi2VRh crystal, computed with PBE.

Lattice parameters (Å, degrees): 5.0054 5.6314 5.0054 90.00 90.00 90.00
With the nearest neighbours (Å) after each atom.
Element x y z (fractional)
Rb: 0.0000 0.5000 0.0000  2 V 2.82
V: 0.0000 0.0000 0.0000  4 Li 2.50
Li: 0.0000 0.0000 0.5000  2 V 2.50
Rh: 0.5000 0.5000 0.5000  4 Rb 3.54, 8 Li 3.77
Li: 0.5000 0.0000 0.0000  2 V 2.50

Output
Magnetic moment   5.231 μB/cell
SG   P4/mmm, No. 123
Crystal system   tetragonal
Energy of formation from the pure elements   1.57 eV per atom
Fermi-level density of states   6.01 states/eV/cell

Record 5
A relaxed RbLiZn2Rh crystal, computed with PBE.

Lattice parameters (Å, degrees): 4.9533 4.9533 4.9705 90.00 90.00 90.00
With the nearest neighbours (Å) after each atom.
Element x y z (fractional)
Zn: 0.5000 0.0000 0.0000  2 Rh 2.48
Li: 0.0000 0.0000 0.5000  2 Rh 2.49
Zn: 0.0000 0.5000 0.0000  2 Rh 2.48
Rh: 0.0000 0.0000 0.0000  4 Zn 2.48, 2 Li 2.49
Rb: 0.5000 0.5000 0.5000  4 Li 3.50, 8 Zn 3.51

Output
Magnetic moment   0.000 μB/cell
SG   P4/mmm, No. 123
Crystal system   tetragonal
Energy of formation from the pure elements   -0.04 eV per atom
Fermi-level density of states   1.67 states/eV/cell

Record 6
A relaxed RbLi3Ru crystal, computed with PBE.

Lattice parameters (Å, degrees): 5.0444 5.0444 5.0444 90.00 90.00 90.00
With the nearest neighbours (Å) after each atom.
Element x y z (fractional)
Li: 0.0000 0.0000 0.5000  2 Ru 2.52
Ru: 0.0000 0.0000 0.0000  6 Li 2.52
Li: 0.0000 0.5000 0.0000  2 Ru 2.52
Li: 0.5000 0.0000 0.0000  2 Ru 2.52
Rb: 0.5000 0.5000 0.5000  12 Li 3.57

Output
Magnetic moment   0.328 μB/cell
SG   Pm-3m, No. 221
Polymorph energy (0 for the lowest one)   0 meV per atom
Crystal system   cubic
Energy of formation from the pure elements   0.63 eV per atom
Fermi-level density of states   3.73 states/eV/cell

Record 7
A relaxed RbLiRu3 crystal, computed with PBE.

Lattice parameters (Å, degrees): 4.5120 4.5120 4.5120 90.00 90.00 90.00
With the nearest neighbours (Å) after each atom.
Element x y z (fractional)
Li: 0.0000 0.0000 0.0000  6 Ru 2.26
Ru: 0.5000 0.0000 0.0000  2 Li 2.26
Ru: 0.0000 0.0000 0.5000  2 Li 2.26
Rb: 0.5000 0.5000 0.5000  12 Ru 3.19
Ru: 0.0000 0.5000 0.0000  2 Li 2.26

Output
Magnetic moment   4.324 μB/cell
SG   Pm-3m, No. 221
Polymorph energy (0 for the lowest one)   0 meV per atom
Crystal system   cubic
Energy of formation from the pure elements   1.80 eV per atom
Fermi-level density of states   7.50 states/eV/cell

Record 8
A relaxed RbLiRu3 crystal, computed with PBE.

Lattice parameters (Å, degrees): 4.8795 4.8795 4.8795 90.00 90.00 90.00
With the nearest neighbours (Å) after each atom.
Element x y z (fractional)
Ru: 0.0000 0.5000 0.0000  2 Rb 2.44
Li: 0.5000 0.5000 0.5000  12 Ru 3.45
Ru: 0.0000 0.0000 0.5000  2 Rb 2.44
Rb: 0.0000 0.0000 0.0000  6 Ru 2.44
Ru: 0.5000 0.0000 0.0000  2 Rb 2.44

Output
Magnetic moment   5.256 μB/cell
SG   Pm-3m, No. 221
Polymorph energy (0 for the lowest one)   1009 meV per atom
Crystal system   cubic
Energy of formation from the pure elements   2.81 eV per atom
Fermi-level density of states   5.30 states/eV/cell

Record 9
A relaxed RbLi3Ru crystal, computed with PBE.

Lattice parameters (Å, degrees): 4.6405 4.6405 4.6405 90.00 90.00 90.00
With the nearest neighbours (Å) after each atom.
Element x y z (fractional)
Li: 0.0000 0.5000 0.0000  2 Rb 2.32
Li: 0.5000 0.0000 0.0000  2 Rb 2.32
Rb: 0.0000 0.0000 0.0000  6 Li 2.32
Ru: 0.5000 0.5000 0.5000  12 Li 3.28
Li: 0.0000 0.0000 0.5000  2 Rb 2.32

Output
Magnetic moment   0.000 μB/cell
SG   Pm-3m, No. 221
Polymorph energy (0 for the lowest one)   811 meV per atom
Crystal system   cubic
Energy of formation from the pure elements   1.44 eV per atom
Fermi-level density of states   1.66 states/eV/cell

Record 10
A relaxed Rb3LiRu crystal, computed with PBE.

Lattice parameters (Å, degrees): 6.2514 6.2514 6.2514 90.00 90.00 90.00
With the nearest neighbours (Å) after each atom.
Element x y z (fractional)
Rb: 0.0000 0.5000 0.0000  2 Ru 3.13
Ru: 0.0000 0.0000 0.0000  6 Rb 3.13
Li: 0.5000 0.5000 0.5000  12 Rb 4.42
Rb: 0.5000 0.0000 0.0000  2 Ru 3.13
Rb: 0.0000 0.0000 0.5000  2 Ru 3.13

Output
Magnetic moment   0.000 μB/cell
SG   Pm-3m, No. 221
Polymorph energy (0 for the lowest one)   0 meV per atom
Crystal system   cubic
Energy of formation from the pure elements   1.04 eV per atom
Fermi-level density of states   4.81 states/eV/cell

Record 11
A relaxed RbLiTcRu2 crystal, computed with PBE.

Lattice parameters (Å, degrees): 4.6690 5.4022 4.6690 90.00 90.00 90.00
With the nearest neighbours (Å) after each atom.
Element x y z (fractional)
Rb: 0.5000 0.5000 0.5000  4 Li 3.30, 8 Ru 3.57
Li: 0.0000 0.5000 0.0000  2 Tc 2.70
Ru: 0.0000 0.0000 0.5000  2 Tc 2.33
Tc: 0.0000 0.0000 0.0000  4 Ru 2.33
Ru: 0.5000 0.0000 0.0000  2 Tc 2.33

Output
Magnetic moment   0.692 μB/cell
SG   P4/mmm, No. 123
Crystal system   tetragonal
Energy of formation from the pure elements   1.10 eV per atom
Fermi-level density of states   6.97 states/eV/cell

Record 12
A relaxed RbLiTeRu2 crystal, computed with PBE.

Lattice parameters (Å, degrees): 4.9473 6.3400 4.9473 90.00 90.00 90.00
With the nearest neighbours (Å) after each atom.
Element x y z (fractional)
Rb: 0.0000 0.5000 0.0000  2 Te 3.17, 4 Li 3.50
Li: 0.5000 0.5000 0.5000  4 Rb 3.50
Te: 0.0000 0.0000 0.0000  4 Ru 2.47
Ru: 0.0000 0.0000 0.5000  2 Te 2.47
Ru: 0.5000 0.0000 0.0000  2 Te 2.47

Output
Magnetic moment   1.447 μB/cell
SG   P4/mmm, No. 123
Crystal system   tetragonal
Raw formation energy   23.26 kcal/mol of atoms
Fermi-level density of states   5.31 states/eV/cell

Record 13
A relaxed Rb2LiZnRu crystal, computed with PBE.

Lattice parameters (Å, degrees): 6.4994 5.0819 6.4994 90.00 90.00 90.00
With the nearest neighbours (Å) after each atom.
Element x y z (fractional)
Rb: 0.5000 0.0000 0.0000  2 Zn 3.25
Zn: 0.0000 0.0000 0.0000  2 Li 2.54
Ru: 0.5000 0.5000 0.5000  8 Rb 4.13, 4 Li 4.60
Rb: 0.0000 0.0000 0.5000  2 Zn 3.25
Li: 0.0000 0.5000 0.0000  2 Zn 2.54

Output
Magnetic moment   2.398 μB/cell
SG   P4/mmm, No. 123
Crystal system   tetragonal
Energy of formation from the pure elements   1.15 eV per atom
Fermi-level density of states   7.65 states/eV/cell